Crystalline TmPuIn at its relaxed geometry, computed with GGA-PBE.

Geometry as POSCAR:
```
TmPuIn
1.0
-1.6672 1.6672 7.2903
1.6672 -1.6672 7.2903
1.6672 1.6672 -7.2903
Tm Pu In
1 1 1
Direct
0.0000 0.0000 0.0000
0.3180 0.3180 0.0000
0.6563 0.6563 0.0000
```

Output
Density of states at the Fermi level, states/eV/cell: 7.97
VASP energy, eV/f.u.: -21.89
Symmetry: No. 107
DFT formation energy, meV/atom: -117

***

Crystalline ScIrSN2 at its relaxed geometry, computed with GGA-PBE.

Geometry as POSCAR:
```
ScIrSN2
1.0
3.9845 0.0000 0.0000
0.0000 3.9845 0.0000
0.0000 0.0000 5.0036
Sc Ir S N
1 1 1 2
Direct
0.0000 0.0000 0.0000
0.5000 0.5000 0.5000
0.0000 0.0000 0.5000
0.0000 0.5000 0.0000
0.5000 0.0000 0.0000
```

Output
Density of states at the Fermi level, states/eV/cell: 5.19
VASP energy, eV/f.u.: -29.54
Symmetry: No. 123

***

Crystalline DyY3Zn4 at its relaxed geometry, computed with GGA-PBE.

Geometry as POSCAR:
```
DyY3Zn4
1.0
2.5329 1.4624 8.2518
-2.5329 1.4624 8.2518
0.0000 -2.9247 8.2518
Dy Y Zn
1 3 4
Direct
0.0000 0.0000 0.0000
0.2502 0.2502 0.2502
0.5000 0.5000 0.5000
0.7498 0.7498 0.7498
0.1248 0.1248 0.1248
0.3748 0.3748 0.3748
0.6252 0.6252 0.6252
0.8752 0.8752 0.8752
```

Output
Density of states at the Fermi level, states/eV/cell: 8.62
VASP energy, eV/f.u.: -31.96
Symmetry: No. 166
DFT formation energy, meV/atom: -358

***

Crystalline Mn2CrGeSe6 at its relaxed geometry, computed with GGA-PBE.

Geometry as POSCAR:
```
Mn2CrGeSe6
1.0
3.2576 1.8808 5.7739
-3.2576 1.8808 5.7739
0.0000 -3.7616 5.7739
Mn Cr Ge Se
2 1 1 6
Direct
0.0000 0.0000 0.0000
0.4946 0.4946 0.4946
0.6876 0.6876 0.6876
0.1943 0.1943 0.1943
0.0915 0.7709 0.4051
0.2813 0.6185 0.8771
0.4051 0.0915 0.7709
0.6185 0.8771 0.2813
0.7709 0.4051 0.0915
0.8771 0.2813 0.6185
```

Output
Density of states at the Fermi level, states/eV/cell: 2.64
VASP energy, eV/f.u.: -57.29
Symmetry: No. 146

***

Crystalline Ba2MgZn3 at its relaxed geometry, computed with GGA-PBE.

Geometry as POSCAR:
```
Ba2MgZn3
1.0
8.1757 -4.0810 0.0000
8.1757 4.0810 0.0000
0.0000 0.0000 5.4061
Ba Mg Zn
4 2 6
Direct
0.0265 0.6594 0.7500
0.3406 0.9735 0.7500
0.6594 0.0265 0.2500
0.9735 0.3406 0.2500
0.1688 0.8312 0.2500
0.8312 0.1688 0.7500
0.2791 0.4515 0.2500
0.4515 0.2791 0.7500
0.5000 0.5000 0.0000
0.5000 0.5000 0.5000
0.5485 0.7209 0.2500
0.7209 0.5485 0.7500
```

Output
Density of states at the Fermi level, states/eV/cell: 7.51
VASP energy, eV/f.u.: -10.05
Symmetry: No. 63
DFT formation energy, meV/atom: -132

***

Crystalline KSi2Pb at its relaxed geometry, computed with GGA-PBE.

Geometry as POSCAR:
```
KSi2Pb
1.0
3.1794 -5.0994 0.0000
3.1794 5.0994 0.0000
0.0000 0.0000 3.0477
K Si Pb
1 2 1
Direct
0.0000 0.0000 0.0000
0.0000 0.5000 0.5000
0.5000 0.0000 0.5000
0.5000 0.5000 0.0000
```

Output
Density of states at the Fermi level, states/eV/cell: 1.02
VASP energy, eV/f.u.: -13.35
Symmetry: No. 65

***

Crystalline MnCu6Pd8 at its relaxed geometry, computed with GGA-PBE.

Geometry as POSCAR:
```
MnCu6Pd8
1.0
3.8869 2.2441 4.2596
-3.8869 2.2441 4.2596
0.0000 -4.4883 4.2596
Mn Cu Pd
1 6 8
Direct
0.0000 0.0000 0.0000
0.2063 0.4403 0.5900
0.4100 0.7937 0.5597
0.4403 0.5900 0.2063
0.5597 0.4100 0.7937
0.5900 0.2063 0.4403
0.7937 0.5597 0.4100
0.0628 0.8333 0.3797
0.1667 0.6203 0.9372
0.2403 0.2403 0.2403
0.3797 0.0628 0.8333
0.6203 0.9372 0.1667
0.7597 0.7597 0.7597
0.8333 0.3797 0.0628
0.9372 0.1667 0.6203
```

Output
Density of states at the Fermi level, states/eV/cell: 10.10
VASP energy, eV/f.u.: -74.27
Symmetry: No. 148
DFT formation energy, meV/atom: 68

***

Crystalline LiPd5Au4 at its relaxed geometry, computed with GGA-PBE.

Geometry as POSCAR:
```
LiPd5Au4
1.0
8.2506 0.0000 0.0000
0.0000 9.0878 0.0000
0.0000 0.0000 4.7649
Li Pd Au
2 10 8
Direct
0.2500 0.2500 0.1694
0.7500 0.7500 0.8306
0.0831 0.5041 0.2424
0.0831 0.9959 0.2424
0.2500 0.7500 0.0651
0.4169 0.5041 0.2424
0.4169 0.9959 0.2424
0.5831 0.0041 0.7576
0.5831 0.4959 0.7576
0.7500 0.2500 0.9349
0.9169 0.0041 0.7576
0.9169 0.4959 0.7576
0.0613 0.7500 0.5782
0.2500 0.0276 0.7433
0.2500 0.4724 0.7433
0.4387 0.7500 0.5782
0.5613 0.2500 0.4218
0.7500 0.5276 0.2567
0.7500 0.9724 0.2567
0.9387 0.2500 0.4218
```

Output
Density of states at the Fermi level, states/eV/cell: 21.58
VASP energy, eV/f.u.: -41.33
Symmetry: No. 59
DFT formation energy, meV/atom: -34

***

Crystalline AcMg2Al2Pd at its relaxed geometry, computed with GGA-PBE.

Geometry as POSCAR:
```
AcMg2Al2Pd
1.0
-2.1563 2.1563 8.7148
2.1563 -2.1563 8.7148
2.1563 2.1563 -8.7148
Ac Mg Al Pd
1 2 2 1
Direct
0.0000 0.0000 0.0000
0.2500 0.7500 0.5000
0.7500 0.2500 0.5000
0.3602 0.3602 0.0000
0.6398 0.6398 0.0000
0.5000 0.5000 0.0000
```

Output
Density of states at the Fermi level, states/eV/cell: 3.42
VASP energy, eV/f.u.: -20.89
Symmetry: No. 139
DFT formation energy, meV/atom: -153

***

Crystalline Sc6Pd2S at its relaxed geometry, computed with GGA-PBE.

Geometry as POSCAR:
```
Sc6Pd2S
1.0
6.0653 0.0000 0.0000
0.0000 6.7476 0.0000
-5.8712 0.0000 9.3200
Sc Pd S
12 4 2
Direct
0.0982 0.1902 0.4381
0.0982 0.3098 0.9381
0.2596 0.6709 0.4394
0.2596 0.8291 0.9394
0.3790 0.0325 0.2433
0.3790 0.4675 0.7433
0.6210 0.5325 0.2567
0.6210 0.9675 0.7567
0.7404 0.1709 0.0606
0.7404 0.3291 0.5606
0.9018 0.6902 0.0619
0.9018 0.8098 0.5619
0.1905 0.1056 0.7457
0.1905 0.3944 0.2457
0.8095 0.6056 0.7543
0.8095 0.8944 0.2543
0.5000 0.0000 0.5000
0.5000 0.5000 0.0000
```

Output
Density of states at the Fermi level, states/eV/cell: 21.62
VASP energy, eV/f.u.: -59.57
Symmetry: No. 14

***

Crystalline Er3Tm4Ir4 at its relaxed geometry, computed with GGA-PBE.

Geometry as POSCAR:
```
Er3Tm4Ir4
1.0
-1.8962 4.2742 7.8677
1.8962 -4.2742 7.8677
1.8962 4.2742 -7.8677
Er Tm Ir
3 4 4
Direct
0.0000 0.0000 0.0000
0.3991 0.8991 0.5000
0.6009 0.1009 0.5000
0.0235 0.3329 0.6906
0.3577 0.6671 0.6906
0.6423 0.3329 0.3094
0.9765 0.6671 0.3094
0.2484 0.2484 0.0000
0.2885 0.5000 0.7885
0.7115 0.5000 0.2115
0.7516 0.7516 0.0000
```

Output
Density of states at the Fermi level, states/eV/cell: 6.89
VASP energy, eV/f.u.: -75.15
Symmetry: No. 71
DFT formation energy, meV/atom: -739

***

Crystalline LaTl3I6 at its relaxed geometry, computed with GGA-PBE.

Geometry as POSCAR:
```
LaTl3I6
1.0
8.3520 0.0000 0.0000
0.0000 9.2606 0.0000
-7.3993 0.0000 12.1200
La Tl I
2 6 12
Direct
0.0000 0.0000 0.0000
0.0000 0.5000 0.5000
0.3114 0.0942 0.7775
0.3114 0.4058 0.2775
0.5000 0.0000 0.5000
0.5000 0.5000 0.0000
0.6886 0.5942 0.7225
0.6886 0.9058 0.2225
0.0881 0.0643 0.2423
0.0881 0.4357 0.7423
0.2450 0.7120 0.0848
0.2450 0.7880 0.5848
0.3668 0.1702 0.0514
0.3668 0.3298 0.5514
0.6332 0.6702 0.4486
0.6332 0.8298 0.9486
0.7550 0.2120 0.4152
0.7550 0.2880 0.9152
0.9119 0.5643 0.2577
0.9119 0.9357 0.7577
```

Output
Density of states at the Fermi level, states/eV/cell: 0.00
VASP energy, eV/f.u.: -31.36
Symmetry: No. 14

***

Crystalline TlSbSe2 at its relaxed geometry, computed with GGA-PBE.

Geometry as POSCAR:
```
TlSbSe2
1.0
6.2987 -1.8466 0.0000
6.2987 1.8466 0.0000
-0.5227 0.0000 5.7421
Tl Sb Se
1 1 2
Direct
0.0000 0.0000 0.0000
0.1980 0.1980 0.5609
0.5337 0.5337 0.4777
0.7479 0.7479 0.9038
```

Output
VASP energy, eV/f.u.: -14.32
Symmetry: No. 8

***

Crystalline FeGeRh at its relaxed geometry, computed with GGA-PBE.

Geometry as POSCAR:
```
FeGeRh
1.0
2.9008 0.0000 0.0000
0.0000 2.9008 0.0000
0.0000 0.0000 9.5178
Fe Ge Rh
2 2 2
Direct
0.0000 0.0000 0.0000
0.5000 0.5000 0.5000
0.0000 0.0000 0.3461
0.0000 0.0000 0.6539
0.5000 0.5000 0.1837
0.5000 0.5000 0.8163
```

Output
Density of states at the Fermi level, states/eV/cell: 3.51
VASP energy, eV/f.u.: -20.90
Symmetry: No. 123
DFT formation energy, meV/atom: -155

***

Crystalline CeDyMg at its relaxed geometry, computed with GGA-PBE.

Geometry as POSCAR:
```
CeDyMg
1.0
3.4067 0.0000 0.0000
-1.7034 2.9503 0.0000
0.0000 0.0000 8.5036
Ce Dy Mg
1 1 1
Direct
0.0000 0.0000 0.0000
0.6667 0.3333 0.3387
0.3333 0.6667 0.6650
```

Output
Density of states at the Fermi level, states/eV/cell: 5.83
VASP energy, eV/f.u.: -11.91
Symmetry: No. 156
DFT formation energy, meV/atom: 74

***

Crystalline Ta2HgW at its relaxed geometry, computed with GGA-PBE.

Geometry as POSCAR:
```
Ta2HgW
1.0
1.4537 0.8393 10.1245
-1.4537 0.8393 10.1245
0.0000 -1.6786 10.1245
Ta Hg W
2 1 1
Direct
0.2478 0.2478 0.2478
0.7522 0.7522 0.7522
0.0000 0.0000 0.0000
0.5000 0.5000 0.5000
```

Output
Density of states at the Fermi level, states/eV/cell: 2.56
VASP energy, eV/f.u.: -35.34
Symmetry: No. 166
DFT formation energy, meV/atom: 404

***

Crystalline ScBP2C at its relaxed geometry, computed with GGA-PBE.

Geometry as POSCAR:
```
ScBP2C
1.0
4.2402 -2.0355 0.0000
4.2402 2.0355 0.0000
-1.9503 0.0000 4.4085
Sc B P C
1 1 2 1
Direct
0.0000 0.0000 0.0000
0.7730 0.2270 0.5000
0.2906 0.4100 0.2403
0.5900 0.7094 0.7597
0.1367 0.8633 0.5000
```

Output
Density of states at the Fermi level, states/eV/cell: 0.71
VASP energy, eV/f.u.: -34.27
Symmetry: No. 5
DFT formation energy, meV/atom: -243

***

Crystalline LaSbPb2 at its relaxed geometry, computed with GGA-PBE.

Geometry as POSCAR:
```
LaSbPb2
1.0
-2.2514 2.4128 5.6145
2.2514 -2.4128 5.6145
2.2514 2.4128 -5.6145
La Sb Pb
1 1 2
Direct
0.0000 0.0000 0.0000
0.5000 0.5000 0.0000
0.2570 0.7570 0.5000
0.7430 0.2430 0.5000
```

Output
Density of states at the Fermi level, states/eV/cell: 2.93
VASP energy, eV/f.u.: -18.46
Symmetry: No. 71

***

Crystalline AgWBr at its relaxed geometry, computed with GGA-PBE.

Geometry as POSCAR:
```
AgWBr
1.0
0.0000 3.1370 3.1370
3.1370 0.0000 3.1370
3.1370 3.1370 0.0000
Ag W Br
1 1 1
Direct
0.0000 0.0000 0.0000
0.7500 0.7500 0.7500
0.5000 0.5000 0.5000
```

Output
Density of states at the Fermi level, states/eV/cell: 3.04
VASP energy, eV/f.u.: -13.17
Symmetry: No. 216

***

Crystalline CdCuNi2N at its relaxed geometry, computed with GGA-PBE.

Geometry as POSCAR:
```
CdCuNi2N
1.0
3.8739 0.0000 0.0000
0.0000 3.8739 0.0000
0.0000 0.0000 3.9296
Cd Cu Ni N
1 1 2 1
Direct
0.0000 0.0000 0.0000
0.5000 0.5000 0.0000
0.0000 0.5000 0.5000
0.5000 0.0000 0.5000
0.5000 0.5000 0.5000
```

Output
Density of states at the Fermi level, states/eV/cell: 1.89
VASP energy, eV/f.u.: -24.68
Symmetry: No. 123

***

Crystalline BaAgHg2Au at its relaxed geometry, computed with GGA-PBE.

Geometry as POSCAR:
```
BaAgHg2Au
1.0
5.3643 0.0000 0.0000
0.0000 5.3643 0.0000
0.0000 0.0000 5.3702
Ba Ag Hg Au
1 1 2 1
Direct
0.0000 0.0000 0.0000
0.5000 0.5000 0.0000
0.0000 0.5000 0.5000
0.5000 0.0000 0.5000
0.5000 0.5000 0.5000
```

Output
Density of states at the Fermi level, states/eV/cell: 3.09
VASP energy, eV/f.u.: -9.57
Symmetry: No. 123
DFT formation energy, meV/atom: -183

***

Crystalline Sc2TeSe at its relaxed geometry, computed with GGA-PBE.

Geometry as POSCAR:
```
Sc2TeSe
1.0
4.6957 0.0000 0.0000
0.0000 1.8413 5.3057
0.0000 -1.8413 5.3057
Sc Te Se
2 1 1
Direct
0.0000 0.0000 0.0000
0.5000 0.2023 0.2023
0.0000 0.7237 0.7237
0.5000 0.4788 0.4788
```

Output
Density of states at the Fermi level, states/eV/cell: 1.61
VASP energy, eV/f.u.: -23.85
Symmetry: No. 38

***

Crystalline HoH4Pd at its relaxed geometry, computed with GGA-PBE.

Geometry as POSCAR:
```
HoH4Pd
1.0
3.6938 0.0000 0.0000
0.0000 6.6367 0.0000
0.0000 0.0000 5.0508
Ho H Pd
2 8 2
Direct
0.2500 0.2500 0.1079
0.7500 0.7500 0.8921
0.2500 0.2500 0.6293
0.2500 0.5839 0.0763
0.2500 0.7500 0.6910
0.2500 0.9161 0.0763
0.7500 0.0839 0.9237
0.7500 0.2500 0.3090
0.7500 0.4161 0.9237
0.7500 0.7500 0.3707
0.2500 0.7500 0.3580
0.7500 0.2500 0.6420
```

Output
Density of states at the Fermi level, states/eV/cell: 1.95
VASP energy, eV/f.u.: -25.48
Symmetry: No. 59

***

Crystalline Tb2NdSi6 at its relaxed geometry, computed with GGA-PBE.

Geometry as POSCAR:
```
Tb2NdSi6
1.0
7.1289 0.0000 0.0000
-3.5644 6.1738 0.0000
0.0000 0.0000 4.0308
Tb Nd Si
2 1 6
Direct
0.3333 0.6667 0.0000
0.6667 0.3333 0.0000
0.0000 0.0000 0.0000
0.0000 0.3356 0.5000
0.0000 0.6644 0.5000
0.3356 0.0000 0.5000
0.3356 0.3356 0.5000
0.6644 0.0000 0.5000
0.6644 0.6644 0.5000
```

Output
Density of states at the Fermi level, states/eV/cell: 5.65
VASP energy, eV/f.u.: -51.53
Symmetry: No. 191